1:
## TlCd2Hg7 (GGA-PBE)

Data for an optimized crystal structure of TlCd2Hg7.

Cell and atoms, written as extended XYZ:
```
10
Lattice="-4.5212 -0.6014 1.2090 -2.3842 0.2009 -8.8164 2.2265 -7.6068 4.5425" Properties=species:S:1:pos:R:3 pbc="T T T"
Tl 0.0000 0.0000 0.0000
Cd -3.1924 -2.5592 -4.0038
Cd -1.4865 -5.4480 0.9388
Hg -1.4111 -1.4470 -5.9967
Hg 1.2533 -5.9589 1.7228
Hg -1.7653 -2.5586 1.3336
Hg -2.9137 -5.4487 -4.3986
Hg -2.8142 -0.7823 -1.7056
Hg -1.8647 -7.2250 -1.3594
Hg -2.3395 -4.0036 -1.5325
```

Summary:
V: 326 Å³/cell
mass density: 9.35 g cm⁻³
magnetic moment: 0.000 μB/f.u.


2:
## TlCd2Hg7 (GGA-PBE)

Data for an optimized crystal structure of TlCd2Hg7.

Cell and atoms, written as extended XYZ:
```
10
Lattice="-0.3433 -0.0788 -3.1744 3.8801 -4.9556 -0.2966 -12.2931 -5.7076 1.4710" Properties=species:S:1:pos:R:3 pbc="T T T"
Tl 0.0000 0.0000 0.0000
Cd -2.4020 -5.8144 -1.2027
Cd -6.3542 -4.9276 -0.7973
Hg -4.2812 -7.3965 0.6465
Hg -4.1318 -3.2667 0.5279
Hg -7.4073 -7.7896 -0.6124
Hg -1.3489 -2.9524 -1.3876
Hg 0.6140 -5.4593 -1.5376
Hg -9.3703 -5.2826 -0.4624
Hg 1.7684 -2.5172 -1.7355
```

Summary:
V: 267 Å³/cell
mass density: 11.41 g cm⁻³
magnetic moment: 0.000 μB/f.u.


Energy ordering: 2 at the bottom, the next structure 0.056 eV/atom above.


1:
## Tl3CdHg8 (GGA-PBE)

Data for an optimized crystal structure of Tl3CdHg8.

Cell and atoms, written as extended XYZ:
```
12
Lattice="-0.2884 -5.3562 -3.1182 4.7391 -1.7524 -3.6009 5.7169 -7.2133 5.6890" Properties=species:S:1:pos:R:3 pbc="T T T"
Tl 6.6648 -8.9700 2.4460
Tl 4.4870 -7.1502 -6.6511
Tl 5.0522 -7.1249 -0.5742
Cd 6.0575 -8.9471 -3.7097
Hg 2.8788 -7.1463 -3.4242
Hg 8.2387 -8.9357 -0.8446
Hg 3.0230 -4.4669 -1.8643
Hg 8.0945 -11.6140 -2.4038
Hg 3.3308 -4.4832 1.2200
Hg 8.4189 -11.6491 0.7130
Hg 5.3937 -5.3435 -3.6656
Hg 5.7249 -10.7377 -0.6032
```

Summary:
V: 340 Å³/cell
mass density: 11.37 g cm⁻³
magnetic moment: 0.000 μB/f.u.


2:
## Tl3CdHg8 (GGA-PBE)

Data for an optimized crystal structure of Tl3CdHg8.

Cell and atoms, written as extended XYZ:
```
12
Lattice="-9.1343 2.0387 2.7577 3.8183 -7.2455 -1.7543 2.0658 -3.9224 4.7467" Properties=species:S:1:pos:R:3 pbc="T T T"
Tl -2.0024 -5.7903 5.0011
Tl 1.5387 -4.8320 1.2595
Tl -4.9401 -0.1916 3.4993
Cd 0.6833 -3.1823 4.4946
Hg -8.0323 0.4780 4.4648
Hg -1.5129 -4.0705 2.1956
Hg -5.1013 -5.1421 5.8642
Hg -2.3914 -2.4236 5.3104
Hg -5.3705 -1.9006 6.4300
Hg -4.5443 -3.5590 3.0758
Hg 1.1002 -6.4332 4.1389
Hg -1.8526 -0.8563 2.5294
```

Summary:
V: 333 Å³/cell
mass density: 11.63 g cm⁻³
magnetic moment: 0.000 μB/f.u.


Energy ordering: 2 at the bottom, the next structure 0.053 eV/atom above.


1:
## Tl3CdHg3 (GGA-PBE)

Data for an optimized crystal structure of Tl3CdHg3.

Cell and atoms, written as extended XYZ:
```
14
Lattice="-5.0040 3.4008 6.0681 1.0657 -7.0121 4.8086 6.8740 3.5627 3.6719" Properties=species:S:1:pos:R:3 pbc="T T T"
Tl 3.7034 0.0283 3.0381
Tl 4.2362 -3.4777 5.4424
Tl 2.6535 4.3724 5.7880
Tl -3.2202 -0.9554 6.9554
Tl -0.7835 2.5911 3.9520
Tl -0.7182 -2.6558 3.9213
Hg 2.1860 2.6316 3.3530
Hg 2.2513 -2.6154 3.3223
Hg -1.7028 -3.5586 6.6405
Hg -0.3160 4.3320 6.3870
Hg 5.6883 -0.8340 5.1582
Hg -2.2356 -0.0526 4.2362
Cd 1.4678 -0.0243 7.2743
Cd 0.0000 0.0000 0.0000
```

Summary:
V: 629 Å³/cell
mass density: 7.01 g cm⁻³
magnetic moment: 0.000 μB/f.u.


2:
## Tl3CdHg3 (GGA-PBE)

Data for an optimized crystal structure of Tl3CdHg3.

Cell and atoms, written as extended XYZ:
```
14
Lattice="-0.8402 -5.9382 -2.0919 0.8866 -0.3583 6.2793 -10.3681 2.1281 0.7201" Properties=species:S:1:pos:R:3 pbc="T T T"
Tl -3.5836 -2.5061 2.4097
Tl -4.5801 -0.2074 5.2694
Tl -5.7416 -3.9609 -0.3619
Tl 0.3511 -2.0886 3.6834
Tl -0.3047 -4.2078 0.5040
Tl -6.7381 -1.6622 2.4978
Cd -9.5593 -3.1026 4.0398
Cd -0.7624 -1.0657 0.8676
Hg -2.1701 -5.0333 3.8026
Hg -7.0943 1.3434 4.0298
Hg -8.0549 -1.7605 -0.6269
Hg -3.2274 -5.5118 0.8777
Hg -2.2668 -2.4078 5.5344
Hg -8.1516 0.8649 1.1049
```

Summary:
V: 406 Å³/cell
mass density: 10.87 g cm⁻³
magnetic moment: 0.000 μB/f.u.


Energy ordering: 2 at the bottom, the next structure 0.279 eV/atom above.


1:
## TlCd7Hg12 (GGA-PBE)

Data for an optimized crystal structure of TlCd7Hg12.

Cell and atoms, written as extended XYZ:
```
20
Lattice="-6.2344 5.2416 -1.1657 -3.2090 -7.0905 4.6385 -3.0326 2.5130 8.1595" Properties=species:S:1:pos:R:3 pbc="T T T"
Tl 0.0000 0.0000 0.0000
Cd -5.7497 2.6695 0.9036
Cd -4.7535 -4.8814 6.6050
Cd -6.2291 2.1254 7.2851
Cd -3.1172 2.6208 -0.5828
Cd -6.2468 -1.4613 4.3472
Cd -7.7224 5.5456 5.0273
Cd -6.7262 -2.0053 10.7287
Hg -7.2633 0.9598 2.9614
Hg -4.8505 -3.9768 9.5412
Hg -4.1122 0.4200 2.1133
Hg -6.7770 -2.6946 7.1779
Hg -8.1772 -0.0420 6.3074
Hg -9.0354 3.1265 6.7127
Hg -3.4405 -2.4623 4.9196
Hg -4.2987 0.7061 5.3249
Hg -5.6989 3.3587 4.4544
Hg -8.3637 0.2442 9.5190
Hg -7.6254 4.6409 2.0912
Hg -5.2126 -0.2956 8.6709
```

Summary:
V: 531 Å³/cell
mass density: 10.62 g cm⁻³
magnetic moment: 0.000 μB/f.u.


2:
## TlCd7Hg12 (GGA-PBE)

Data for an optimized crystal structure of TlCd7Hg12.

Cell and atoms, written as extended XYZ:
```
20
Lattice="-3.5448 0.0504 -8.7454 4.3045 -8.2435 1.6019 -6.9886 1.1629 6.2336" Properties=species:S:1:pos:R:3 pbc="T T T"
Tl 0.0000 0.0000 0.0000
Cd -5.2667 0.6067 -1.2559
Cd 0.3798 -4.0966 -3.5718
Cd -1.3421 -3.5403 3.9177
Cd -3.4943 0.5815 3.1168
Cd -1.7724 0.0252 -4.3727
Cd -3.1145 -3.5151 -0.4550
Cd 2.1523 -4.1218 0.8009
Hg -3.3340 -0.7659 0.5238
Hg 1.8058 -6.8058 -0.3128
Hg -2.8949 -6.2643 -1.4338
Hg -8.0348 -0.2244 -0.5971
Hg -1.4288 -2.0796 -2.3687
Hg -1.0897 -5.7359 -5.5566
Hg -4.8002 -4.9506 1.4587
Hg -5.1392 -1.2943 4.6467
Hg -4.4062 -0.6350 -5.4645
Hg -1.8228 -6.3952 4.5545
Hg -0.6249 -3.2353 1.0578
Hg -5.6040 -3.7949 -1.9677
```

Summary:
V: 647 Å³/cell
mass density: 8.72 g cm⁻³
magnetic moment: 0.000 μB/f.u.


Energy ordering: 1 at the bottom, the next structure 0.060 eV/atom above.


1:
## TlCdHg3 (GGA-PBE)

Data for an optimized crystal structure of TlCdHg3.

Cell and atoms, written as extended XYZ:
```
10
Lattice="-0.5303 4.1301 -3.4395 -6.0750 -1.2476 -0.5615 1.6822 3.6071 8.3156" Properties=species:S:1:pos:R:3 pbc="T T T"
Tl -1.2905 3.3991 6.4096
Tl -3.6326 3.0905 -2.0950
Cd -0.5953 2.4737 0.9446
Cd -4.3278 4.0159 3.3699
Hg -0.5490 3.5686 -1.9897
Hg -4.3741 2.9209 6.3043
Hg -3.7002 2.0627 0.9195
Hg -1.2230 4.4269 3.3951
Hg -3.7560 0.9989 3.8871
Hg -1.1671 5.4906 0.4275
```

Summary:
V: 277 Å³/cell
mass density: 11.00 g cm⁻³
magnetic moment: 0.000 μB/f.u.


2:
## TlCdHg3 (GGA-PBE)

Data for an optimized crystal structure of TlCdHg3.

Cell and atoms, written as extended XYZ:
```
5
Lattice="-0.5091 5.5685 0.2598 -0.2385 -0.2824 5.5855 5.5694 0.4969 0.2629" Properties=species:S:1:pos:R:3 pbc="T T T"
Tl 2.4109 2.8915 3.0541
Hg -0.1192 -0.1412 2.7928
Hg 2.7847 0.2485 0.1314
Hg -0.2546 2.7842 0.1299
Cd 0.0000 0.0000 0.0000
```

Summary:
V: 175 Å³/cell
mass density: 8.70 g cm⁻³
magnetic moment: 0.000 μB/f.u.


Energy ordering: 1 at the bottom, the next structure 0.132 eV/atom above.


1:
## Tl4CdHg (GGA-PBE)

Data for an optimized crystal structure of Tl4CdHg.

Cell and atoms, written as extended XYZ:
```
12
Lattice="7.8933 0.8514 -3.1700 -1.9956 5.1905 -2.5131 -1.0895 0.3773 8.3839" Properties=species:S:1:pos:R:3 pbc="T T T"
Tl -1.2082 1.4909 6.8502
Tl 5.2050 4.0616 0.9311
Tl 0.5787 4.1462 4.6227
Tl 1.0710 0.6213 4.4273
Tl 3.7372 5.7979 -1.7264
Tl 4.2295 2.2730 -1.9218
Tl -0.3968 2.3576 1.7698
Tl 6.0163 4.9284 -4.1494
Cd 1.5190 3.8014 -0.4290
Cd 3.2892 2.6178 3.1299
Hg 2.4517 1.0871 0.6334
Hg 2.3565 5.3321 2.0675
```

Summary:
V: 352 Å³/cell
mass density: 10.67 g cm⁻³
magnetic moment: 0.000 μB/f.u.


2:
## Tl4CdHg (GGA-PBE)

Data for an optimized crystal structure of Tl4CdHg.

Cell and atoms, written as extended XYZ:
```
6
Lattice="-1.6216 -5.5095 3.0090 1.4843 -0.8352 6.2561 -4.6924 0.0097 4.4744" Properties=species:S:1:pos:R:3 pbc="T T T"
Tl -2.6220 -5.1308 6.6568
Tl -4.1577 -2.3706 7.3896
Tl -1.0688 -2.7932 8.2806
Tl -1.8110 -2.3755 5.1520
Cd -3.6223 -4.7513 10.3046
Hg 0.0000 0.0000 0.0000
```

Summary:
V: 193 Å³/cell
mass density: 9.74 g cm⁻³
magnetic moment: 0.000 μB/f.u.


3:
## Tl4CdHg (GGA-PBE)

Data for an optimized crystal structure of Tl4CdHg.

Cell and atoms, written as extended XYZ:
```
12
Lattice="6.0039 -0.5782 0.0000 -2.2564 8.9496 0.0000 -1.8738 -4.1857 6.8349" Properties=species:S:1:pos:R:3 pbc="T T T"
Tl -1.5132 -1.5655 5.6507
Tl 1.9541 3.1170 4.1946
Tl -1.4887 1.8546 5.6507
Tl -1.2086 5.5434 4.1946
Tl 3.0823 -1.3578 2.6403
Tl 3.3625 2.3310 1.1842
Tl -0.0804 1.0686 2.6403
Tl 3.3870 5.7512 1.1842
Cd 1.5010 -0.1446 0.2011
Cd 0.3728 4.3302 6.6339
Hg 0.3728 4.3302 1.5985
Hg 1.5010 -0.1446 5.2365
```

Summary:
V: 358 Å³/cell
mass density: 10.48 g cm⁻³
magnetic moment: 0.000 μB/f.u.


Energy ordering: 1 at the bottom, the next structure 0.010 eV/atom above.


1:
## TlCdHg6 (GGA-PBE)

Data for an optimized crystal structure of TlCdHg6.

Cell and atoms, written as extended XYZ:
```
8
Lattice="-4.2778 -0.4459 -3.5293 3.5540 -4.3616 -3.7568 -3.9140 -2.2677 5.0306" Properties=species:S:1:pos:R:3 pbc="T T T"
Tl -2.9509 -3.3604 -0.3840
Cd -3.2803 -2.4454 4.2849
Hg -1.3478 -1.2605 1.7929
Hg -1.5325 -4.6621 2.4466
Hg 0.4525 -3.4920 -0.1073
Hg -0.9878 -2.2268 -2.9068
Hg -1.1679 -5.5444 -2.2693
Hg 0.8170 -4.4169 -4.8176
```

Summary:
V: 220 Å³/cell
mass density: 11.45 g cm⁻³
magnetic moment: 0.000 μB/f.u.


2:
## TlCdHg6 (GGA-PBE)

Data for an optimized crystal structure of TlCdHg6.

Cell and atoms, written as extended XYZ:
```
8
Lattice="-2.3964 -4.8261 1.2890 3.0099 -2.8741 -5.1651 3.3117 -0.1097 5.7462" Properties=species:S:1:pos:R:3 pbc="T T T"
Tl -1.1982 -2.4131 0.6445
Cd 1.9625 -3.9050 0.9350
Hg 0.4576 -2.4679 3.5176
Hg 0.3067 -3.8501 -1.9381
Hg 1.7125 -0.8083 0.1574
Hg 4.6090 -2.1755 0.4237
Hg 3.0825 -2.2089 -2.5398
Hg 3.2390 -0.7748 3.1208
```

Summary:
V: 219 Å³/cell
mass density: 11.54 g cm⁻³
magnetic moment: 0.000 μB/f.u.


Energy ordering: 1 at the bottom, the next structure 0.034 eV/atom above.


1:
## Tl4Cd2Hg (GGA-PBE)

Data for an optimized crystal structure of Tl4Cd2Hg.

Cell and atoms, written as extended XYZ:
```
14
Lattice="7.2035 0.4173 -2.9714 -3.6161 6.2390 -2.6015 -0.4955 -0.4049 9.1262" Properties=species:S:1:pos:R:3 pbc="T T T"
Tl 1.7742 6.2856 1.4396
Tl 0.8800 4.1141 4.0649
Tl 2.0537 1.0236 2.9958
Tl 5.7648 1.6955 -1.6615
Tl 4.2491 3.7730 1.3571
Tl 3.1097 4.8027 -1.7132
Tl -0.0829 3.5353 -2.1189
Tl 1.8723 0.4402 6.5139
Hg -0.8139 4.3232 1.2833
Hg -2.7084 5.6044 -2.1652
Cd 1.5548 2.5556 0.2658
Cd -0.6993 1.2151 4.4880
Cd 3.7576 2.7469 5.0101
Cd 3.8846 0.3917 0.4580
```

Summary:
V: 403 Å³/cell
mass density: 10.23 g cm⁻³
magnetic moment: 0.000 μB/f.u.


2:
## Tl4Cd2Hg (GGA-PBE)

Data for an optimized crystal structure of Tl4Cd2Hg.

Cell and atoms, written as extended XYZ:
```
7
Lattice="5.8424 0.0000 0.0000 0.0000 5.8424 0.0000 2.9212 2.9212 7.5359" Properties=species:S:1:pos:R:3 pbc="T T T"
Tl 5.8424 5.8424 3.0162
Tl 2.9212 2.9212 4.5197
Tl 0.0000 2.9212 0.0000
Tl 2.9212 0.0000 0.0000
Hg 0.0000 0.0000 0.0000
Cd 5.8423 5.8423 5.9974
Cd 2.9212 2.9212 1.5385
```

Summary:
V: 257 Å³/cell
mass density: 8.02 g cm⁻³
magnetic moment: 0.000 μB/f.u.


Energy ordering: 1 at the bottom, the next structure 0.193 eV/atom above.


1:
## Tl2CdHg (GGA-PBE)

Data for an optimized crystal structure of Tl2CdHg.

Cell and atoms, written as extended XYZ:
```
4
Lattice="-0.9026 4.4881 3.9251 -0.1420 -5.8964 2.3839 3.0714 -0.2450 1.6000" Properties=species:S:1:pos:R:3 pbc="T T T"
Tl 0.0000 0.0000 0.0000
Tl 1.0844 2.1216 2.7626
Hg -0.5223 -0.7041 3.1545
Cd 1.4647 -3.0707 1.9920
```

Summary:
V: 113 Å³/cell
mass density: 10.60 g cm⁻³
magnetic moment: 0.000 μB/f.u.


2:
## Tl2CdHg (GGA-PBE)

Data for an optimized crystal structure of Tl2CdHg.

Cell and atoms, written as extended XYZ:
```
4
Lattice="5.1335 0.0000 0.0000 0.0000 3.5374 0.1490 0.0000 1.3059 6.2588" Properties=species:S:1:pos:R:3 pbc="T T T"
Tl 0.0000 4.6711 6.1612
Tl 2.5667 1.3936 1.8427
Hg 2.5667 2.9450 4.8815
Cd 0.0000 3.0985 3.1341
```

Summary:
V: 113 Å³/cell
mass density: 10.64 g cm⁻³
magnetic moment: 0.000 μB/f.u.


3:
## Tl2CdHg (GGA-PBE)

Data for an optimized crystal structure of Tl2CdHg.

Cell and atoms, written as extended XYZ:
```
8
Lattice="-2.1657 2.1846 3.3818 -3.8424 -2.2679 -0.9956 -0.0096 -8.2982 8.4442" Properties=species:S:1:pos:R:3 pbc="T T T"
Tl -1.8344 -0.9945 4.0974
Tl -2.6764 -3.2171 1.9143
Tl -2.2634 -6.2568 7.2272
Tl -5.2610 -6.2947 8.4219
Hg 0.0000 0.0000 0.0000
Hg -2.5896 -3.0776 6.5096
Cd -3.0040 -0.0417 1.1931
Cd -3.4280 -5.3039 4.3209
```

Summary:
V: 238 Å³/cell
mass density: 10.07 g cm⁻³
magnetic moment: 0.000 μB/f.u.


4:
## Tl2CdHg (GGA-PBE)

Data for an optimized crystal structure of Tl2CdHg.

Cell and atoms, written as extended XYZ:
```
4
Lattice="3.5723 0.0000 0.0000 1.7861 3.0937 0.0000 1.7861 1.0312 10.2998" Properties=species:S:1:pos:R:3 pbc="T T T"
Tl 1.7861 1.0312 7.6841
Tl 1.7861 1.0312 2.6168
Cd 3.5723 2.0625 5.1784
Hg 5.3584 3.0937 10.2702
```

Summary:
V: 114 Å³/cell
mass density: 10.53 g cm⁻³
magnetic moment: 0.000 μB/f.u.


Energy ordering: 2 at the bottom, the next structure 0.012 eV/atom above.